AlCr2P | PBE | optimized geometry

Calculated values
As for the formation energy from the elements: -0.0331 eV per atom. For the total magnetization, the calculation gives 1.0 μB per cell. The offset from the most stable computed form is 0.208 eV per atom. Its space-group type is No. 65. The value obtained for the total energy is -7.133 eV/atom.

a b c (Å): 2.6958 2.6958 7.4689
angles (deg): 90.00 90.00 111.37
Closest atoms and distances in Å follow each position.
Fractional coordinates of all 4 atoms:
Al: 0.0000 0.0000 0.0000  4 Cr 2.56, 4 Al 2.70
Cr: 0.5000 0.5000 0.2763  2 P 2.26
Cr: 0.5000 0.5000 0.7237  2 P 2.26
P: 0.0000 0.0000 0.5000  4 Cr 2.26